Below is a relaxed NpSnSb crystal, with properties calculated at the PBE-GGA level.

For the energy above the most stable polymorph in this dataset, the calculation gives 595.6 meV/atom. The value obtained for the uncorrected formation energy is 0.4082 eV/atom.

It has space group P4_2/mmc (No. 131), with a = 9.049 Å, b = 9.049 Å, c = 4.907 Å, α = 90.00°, β = 90.00° and γ = 90.00°. The asymmetric unit holds Np at (0.000, 0.129, 0.000), Sn at (0.321, 0.500, 0.500) and Sb at (0.000, 0.334, 0.500).

---

Below is a relaxed Ac3Pr4Y4 crystal, with properties calculated at the PBE-GGA level.

The calculation puts the energy at -56.7 eV/cell.

It has space group P-1 (No. 2), with a = 3.685 Å, b = 5.899 Å, c = 19.069 Å, α = 98.84°, β = 95.53° and γ = 90.01°. The asymmetric unit holds Ac at (0.000, 0.000, 0.000), Ac at (0.136, 0.637, 0.273), Pr at (0.266, 0.266, 0.531), Pr at (0.409, 0.908, 0.817), Y at (0.318, 0.817, 0.635) and Y at (0.455, 0.454, 0.909).

---

Below is a relaxed SrMg3Hg3 crystal, with properties calculated at the PBE-GGA level.

For the energy above the most stable polymorph in this dataset, the calculation gives 286.3 meV/atom.

It has space group Pm-3n (No. 223), with a = 7.651 Å, b = 7.651 Å, c = 7.651 Å, α = 90.00°, β = 90.00° and γ = 90.00°. The asymmetric unit holds Sr at (0.000, 0.000, 0.000), Mg at (0.000, 0.250, 0.500) and Hg at (0.000, 0.500, 0.250).

---

| no. | Fermi-level density of states (states/eV per cell) | calculated density (g cm⁻³) |
| --- | --- | --- |
| 1 | 16.1 | 7.89 |
| 2 | 18.2 | 6.52 |
| 3 | 8.3 | 5.65 |